No. 1
15
Lattice="-4.3542 -0.5474 -3.4350 4.5807 -3.0727 -0.7960 -2.6004 -4.9342 4.0826" Properties=species:S:1:pos:R:3 comment="Tl3Cu2TeO9 PBE-GGA relaxed" spacegroup="P-3m1 (164)" magnetic_moment_mub_per_fu=0.00 volume_a3_per_cell=185.92 e_form_raw_ev_per_atom=-0.472 pbc="T T T"
Tl -0.2384 -5.7239 1.2144
Tl 0.0000 0.0000 0.0000
Tl -2.1355 -2.8305 -1.3628
Cu 1.1806 -3.0313 -1.0134
Cu -3.5545 -5.5231 0.8650
Te -1.3002 -2.4671 2.0413
O -4.6282 -4.2450 -0.2860
O -2.2893 -5.8140 -0.6924
O -2.4049 -3.9655 1.4680
O 0.0310 -4.5889 -1.6164
O -0.0846 -2.7404 0.5440
O 2.2544 -4.3094 0.1376
O -2.1771 -0.2737 -1.7175
O 2.2904 -1.5364 -0.3980
O 0.1133 -1.8101 -2.1155

=====

No. 2
6
Lattice="4.9147 0.0000 0.0000 2.4574 4.2563 0.0000 2.4574 1.4188 4.0129" Properties=species:S:1:pos:R:3 comment="Li4SnRh PBE-GGA relaxed" spacegroup="F-43m (216)" formation_energy_ev_per_atom=-0.20 magnetic_moment_mub_per_fu=0.00 volume_a3_per_cell=83.94 e_above_lowest_polymorph_mev_per_atom=147 pbc="T T T"
Rh 0.0000 0.0000 0.0000
Sn 2.4574 1.4188 1.0032
Li 4.9147 2.8375 0.4767
Li 4.9147 1.3952 2.5164
Li 6.1638 3.5587 2.5164
Li 3.6657 3.5587 2.5164

=====

No. 3
5
Lattice="6.2461 0.0000 0.0000 0.0000 6.2461 0.0000 0.0000 0.0000 5.8808" Properties=species:S:1:pos:R:3 comment="KSr2CaAs PBE-GGA relaxed" spacegroup="P4/mmm (123)" formation_energy_ev_per_atom=-0.44 magnetic_moment_mub_per_fu=1.03 volume_a3_per_cell=229.43 pbc="T T T"
K 3.1231 3.1231 2.9404
Sr 0.0000 3.1231 0.0000
Sr 3.1231 0.0000 0.0000
As 0.0000 0.0000 0.0000
Ca 0.0000 0.0000 2.9404

=====

No. 4
4
Lattice="-2.4822 3.7448 -1.4602 -4.6027 0.3104 1.0177 0.7429 7.5875 11.1523" Properties=species:S:1:pos:R:3 comment="K2RbLi PBE-GGA relaxed" spacegroup="Cm (8)" formation_energy_ev_per_atom=0.13 magnetic_moment_mub_per_fu=0.00 volume_a3_per_cell=256.96 e_above_lowest_polymorph_mev_per_atom=37 pbc="T T T"
K 0.1422 6.3513 8.9247
K -1.7630 2.5898 2.0808
Rb -3.1689 5.8184 5.3526
Li -4.7231 2.7045 -0.2934

=====

no.,E (eV per formula unit)
1,-70.1
2,-20.2
3,-13.3
4,-4.5